# LaHfSb (PBE-GGA, relaxed)
# DFT total energy	-5.743	eV per atom
# size of the total moment	2.00	μB per formula unit
data_LaHfSb
_chemical_formula_sum 'La1 Hf1 Sb1'
_cell_length_a 5.224
_cell_length_b 5.224
_cell_length_c 5.224
_cell_angle_alpha 60.00
_cell_angle_beta 60.00
_cell_angle_gamma 60.00
_symmetry_space_group_name_H-M 'P 1'
_symmetry_Int_Tables_number 1
_symmetry_space_group_name_Hall 'P 1'
loop_
_atom_site_label
_atom_site_type_symbol
_atom_site_fract_x
_atom_site_fract_y
_atom_site_fract_z
La1 La 0.000 0.000 0.000
Hf1 Hf 0.750 0.750 0.750
Sb1 Sb 0.250 0.250 0.250